*A*
DFT (PBE) results for a relaxed Dy5In2Sb crystal.

Structure (POSCAR):
```
Dy5In2Sb
1.0
-4.202 4.202 6.418
4.202 -4.202 6.418
4.202 4.202 -6.418
Dy In Sb
10 4 2
direct
0.000 0.000 0.000 Dy
0.004 0.504 0.810 Dy
0.194 0.004 0.500 Dy
0.306 0.806 0.810 Dy
0.496 0.306 0.500 Dy
0.500 0.500 0.000 Dy
0.504 0.694 0.500 Dy
0.694 0.194 0.190 Dy
0.806 0.996 0.500 Dy
0.996 0.496 0.190 Dy
0.144 0.356 0.500 In
0.356 0.856 0.212 In
0.644 0.144 0.788 In
0.856 0.644 0.500 In
0.250 0.250 0.000 Sb
0.750 0.750 0.000 Sb
```

*B*
DFT (PBE) results for a relaxed Dy5In2Sb crystal.

Structure (POSCAR):
```
Dy5In2Sb
1.0
-3.755 3.755 3.910
3.755 -3.755 3.910
3.755 3.755 -3.910
Dy In Sb
5 2 1
direct
0.000 0.000 0.000 Dy
0.469 0.469 0.530 Dy
0.469 0.939 0.000 Dy
0.939 0.469 0.000 Dy
0.939 0.939 0.470 Dy
0.462 0.962 0.500 In
0.962 0.462 0.500 In
0.409 0.409 0.000 Sb
```

Winner for stability: *A*

*A*
DFT (PBE) results for a relaxed DyIn2Sb crystal.

Structure (POSCAR):
```
DyIn2Sb
1.0
4.549 0.000 0.000
0.000 4.549 0.000
0.000 0.000 5.020
Dy In Sb
1 2 1
direct
0.000 0.000 0.000 Dy
0.000 0.500 0.500 In
0.500 0.000 0.500 In
0.500 0.500 0.000 Sb
```

*B*
DFT (PBE) results for a relaxed DyIn2Sb crystal.

Structure (POSCAR):
```
DyIn2Sb
1.0
1.762 1.017 11.286
-1.762 1.017 11.286
0.000 -2.034 11.286
Dy In Sb
1 2 1
direct
0.000 0.000 0.000 Dy
0.093 0.093 0.093 In
0.907 0.907 0.907 In
0.500 0.500 0.500 Sb
```

Winner for stability: *A*

*A*
DFT (PBE) results for a relaxed Dy4ScIn crystal.

Structure (POSCAR):
```
Dy4ScIn
1.0
3.457 0.000 0.000
0.000 5.631 0.000
0.000 0.000 9.284
Dy Sc In
4 1 1
direct
0.000 0.000 0.187 Dy
0.000 0.000 0.813 Dy
0.500 0.500 0.308 Dy
0.500 0.500 0.692 Dy
0.500 0.000 0.500 Sc
0.000 0.500 0.000 In
```

*B*
DFT (PBE) results for a relaxed Dy4ScIn crystal.

Structure (POSCAR):
```
Dy4ScIn
1.0
2.593 1.497 8.578
-2.593 1.497 8.578
0.000 -2.994 8.578
Dy Sc In
4 1 1
direct
0.123 0.123 0.123 Dy
0.373 0.373 0.373 Dy
0.627 0.627 0.627 Dy
0.877 0.877 0.877 Dy
0.000 0.000 0.000 Sc
0.500 0.500 0.500 In
```

Winner for stability: *A*

*A*
DFT (PBE) results for a relaxed Dy3ScIn2 crystal.

Structure (POSCAR):
```
Dy3ScIn2
1.0
2.420 -7.574 0.000
2.420 7.574 0.000
0.000 0.000 4.419
Dy Sc In
3 1 2
direct
0.000 0.000 0.000 Dy
0.329 0.671 0.000 Dy
0.671 0.329 0.000 Dy
0.500 0.500 0.500 Sc
0.152 0.848 0.500 In
0.848 0.152 0.500 In
```

*B*
DFT (PBE) results for a relaxed Dy3ScIn2 crystal.

Structure (POSCAR):
```
Dy3ScIn2
1.0
-1.693 2.751 9.224
1.693 -2.751 9.224
1.693 2.751 -9.224
Dy Sc In
3 1 2
direct
0.000 0.000 0.000 Dy
0.317 0.817 0.500 Dy
0.683 0.183 0.500 Dy
0.500 0.000 0.500 Sc
0.147 0.647 0.500 In
0.853 0.353 0.500 In
```

Winner for stability: *A*

*A*
DFT (PBE) results for a relaxed Dy2ScIn2 crystal.

Structure (POSCAR):
```
Dy2ScIn2
1.0
-2.346 3.275 4.481
2.346 -3.275 4.481
2.346 3.275 -4.481
Dy Sc In
2 1 2
direct
0.197 0.197 0.000 Dy
0.803 0.803 0.000 Dy
0.500 0.000 0.500 Sc
0.223 0.500 0.723 In
0.777 0.500 0.277 In
```

*B*
DFT (PBE) results for a relaxed Dy2ScIn2 crystal.

Structure (POSCAR):
```
Dy2ScIn2
1.0
7.872 0.000 0.000
0.000 7.872 0.000
0.000 0.000 4.424
Dy Sc In
4 2 4
direct
0.173 0.327 0.000 Dy
0.327 0.827 0.000 Dy
0.673 0.173 0.000 Dy
0.827 0.673 0.000 Dy
0.000 0.000 0.500 Sc
0.500 0.500 0.500 Sc
0.131 0.631 0.500 In
0.369 0.131 0.500 In
0.631 0.869 0.500 In
0.869 0.369 0.500 In
```

Winner for stability: *B*

*A*
DFT (PBE) results for a relaxed Dy2ScIn4 crystal.

Structure (POSCAR):
```
Dy2ScIn4
1.0
-2.564 2.564 7.208
2.564 -2.564 7.208
2.564 2.564 -7.208
Dy Sc In
2 1 4
direct
0.248 0.248 0.000 Dy
0.752 0.752 0.000 Dy
0.000 0.000 0.000 Sc
0.109 0.609 0.500 In
0.391 0.891 0.500 In
0.609 0.109 0.500 In
0.891 0.391 0.500 In
```

*B*
DFT (PBE) results for a relaxed Dy2ScIn4 crystal.

Structure (POSCAR):
```
Dy2ScIn4
1.0
-2.684 2.684 7.811
2.684 -2.684 7.811
2.684 2.684 -7.811
Dy Sc In
2 1 4
direct
0.113 0.113 0.000 Dy
0.887 0.887 0.000 Dy
0.500 0.500 0.000 Sc
0.000 0.500 0.500 In
0.314 0.314 0.000 In
0.500 0.000 0.500 In
0.686 0.686 0.000 In
```

Winner for stability: *A*

*A*
DFT (PBE) results for a relaxed DyScIn crystal.

Structure (POSCAR):
```
DyScIn
1.0
-1.713 1.713 6.631
1.713 -1.713 6.631
1.713 1.713 -6.631
Dy Sc In
1 1 1
direct
0.000 0.000 0.000 Dy
0.682 0.682 0.000 Sc
0.330 0.330 0.000 In
```

*B*
DFT (PBE) results for a relaxed DyScIn crystal.

Structure (POSCAR):
```
DyScIn
1.0
4.636 0.000 0.000
0.000 4.636 0.000
0.000 0.000 7.686
Dy Sc In
2 2 2
direct
0.250 0.250 0.173 Dy
0.750 0.750 0.827 Dy
0.250 0.250 0.741 Sc
0.750 0.750 0.259 Sc
0.250 0.750 0.500 In
0.750 0.250 0.500 In
```

*C*
DFT (PBE) results for a relaxed DyScIn crystal.

Structure (POSCAR):
```
DyScIn
1.0
5.188 0.000 0.000
-2.594 4.493 0.000
0.000 0.000 6.600
Dy Sc In
2 2 2
direct
0.000 0.000 0.000 Dy
0.000 0.000 0.500 Dy
0.333 0.667 0.250 Sc
0.667 0.333 0.750 Sc
0.333 0.667 0.750 In
0.667 0.333 0.250 In
```

Winner for stability: *C*

*A*
DFT (PBE) results for a relaxed Dy3Sc2In crystal.

Structure (POSCAR):
```
Dy3Sc2In
1.0
3.238 -5.422 0.000
3.238 5.422 0.000
-0.284 0.000 9.423
Dy Sc In
6 4 2
direct
0.006 0.321 0.617 Dy
0.116 0.884 0.750 Dy
0.321 0.006 0.117 Dy
0.679 0.994 0.883 Dy
0.884 0.116 0.250 Dy
0.994 0.679 0.383 Dy
0.219 0.449 0.951 Sc
0.449 0.219 0.451 Sc
0.551 0.781 0.549 Sc
0.781 0.551 0.049 Sc
0.422 0.578 0.250 In
0.578 0.422 0.750 In
```

*B*
DFT (PBE) results for a relaxed Dy3Sc2In crystal.

Structure (POSCAR):
```
Dy3Sc2In
1.0
5.310 0.000 0.000
0.000 10.148 0.000
0.000 0.000 6.154
Dy Sc In
6 4 2
direct
0.000 0.070 0.000 Dy
0.000 0.261 0.431 Dy
0.000 0.739 0.931 Dy
0.000 0.930 0.500 Dy
0.500 0.421 0.243 Dy
0.500 0.579 0.743 Dy
0.000 0.411 0.923 Sc
0.000 0.589 0.423 Sc
0.500 0.236 0.774 Sc
0.500 0.764 0.274 Sc
0.500 0.086 0.307 In
0.500 0.914 0.807 In
```

Winner for stability: *A*